No. 1
! LiCu2Cl, single point on PBEsol structure, DFT SCAN; values from VASP
! energy above the most stable polymorph in this dataset = 481 meV/atom
! ΔE_f (raw) = 123 meV/atom
&SYSTEM
  ibrav = 0, nat = 4, ntyp = 3
/
ATOMIC_SPECIES
Li 6.94 Li.upf
Cu 63.55 Cu.upf
Cl 35.45 Cl.upf
CELL_PARAMETERS angstrom
1.4710 0.8493 7.8412
-1.4710 0.8493 7.8412
0.0000 -1.6986 7.8412
ATOMIC_POSITIONS angstrom
Li 0.0000 0.0000 0.0000
Cu 0.0000 0.0000 5.7537
Cu 0.0000 0.0000 17.7698
Cl 0.0000 0.0000 11.7617

No. 2
! ScCu2Ni, single point on PBEsol structure, DFT SCAN; values from VASP
! formation energy = -276 meV/atom
&SYSTEM
  ibrav = 0, nat = 4, ntyp = 3
/
ATOMIC_SPECIES
Sc 44.96 Sc.upf
Cu 63.55 Cu.upf
Ni 58.69 Ni.upf
CELL_PARAMETERS angstrom
-1.8067 1.8067 3.9715
1.8067 -1.8067 3.9715
1.8067 1.8067 -3.9715
ATOMIC_POSITIONS angstrom
Sc 0.0000 0.0000 0.0000
Cu 1.8067 0.0000 1.9857
Cu 0.0000 1.8067 1.9857
Ni 0.0000 0.0000 3.9715